1.
Computed, not measured: Ba2LaAs after structural relaxation at the PBE level of DFT.

Unit cell a=4.6305 b=5.3375 c=13.7598 alpha=90.00 beta=90.00 gamma=90.00
With the nearest neighbours (Å) after each atom.
Space group Amm2 (No. 38)
One atom of each set of equivalent atoms:
Ba: 0.0000 0.0000 0.0000 [2 per cell]  4 As 3.64, 2 La 3.77
Ba: 0.5000 0.0000 0.3096 [2 per cell]  1 As 3.49, 4 La 3.88
La: 0.0000 0.0000 0.6937 [2 per cell]  2 As 2.93
As: 0.5000 0.0000 0.5636 [2 per cell]  2 La 2.93

## Properties
* energy: -3.883 eV per atom

---

2.
Computed, not measured: TmTh4In4 after structural relaxation at the PBE level of DFT.

Unit cell a=9.1240 b=9.1240 c=6.6849 alpha=90.00 beta=90.00 gamma=90.00
With the nearest neighbours (Å) after each atom.
Space group P4_2/n (No. 86, origin choice 2)
One atom of each set of equivalent atoms:
Tm: 0.2500 0.2500 0.2500 [2 per cell]  4 In 2.92
Th: 0.0074 0.3423 0.6245 [8 per cell]  5 In 3.18-3.52, 1 Th 3.33, 1 Tm 3.45
In: 0.0371 0.6592 0.8986 [8 per cell]  1 Tm 2.92, 2 Th 3.18-3.21

## Properties
* energy: -4.982 eV per atom

---

3.
Computed, not measured: Mn3BiPd after structural relaxation at the PBE level of DFT.

Unit cell a=4.8508 b=4.8508 c=4.8508 alpha=90.00 beta=90.00 gamma=90.00
With the nearest neighbours (Å) after each atom.
Space group Pm-3m (No. 221)
One atom of each set of equivalent atoms:
Mn: 0.0000 0.0000 0.5000 [3 per cell]  2 Pd 2.43
Bi: 0.5000 0.5000 0.5000 [1 per cell]  12 Mn 3.43
Pd: 0.0000 0.0000 0.0000 [1 per cell]  6 Mn 2.43

## Properties
* ΔE to the lowest computed polymorph: 0 meV per atom

---

4.
Computed, not measured: Ga2Sn2PbAu7 after structural relaxation at the PBE level of DFT.

Unit cell a=7.3994 b=5.9115 c=11.5182 alpha=90.00 beta=91.92 gamma=90.00
With the nearest neighbours (Å) after each atom.
Space group C2/m (No. 12)
One atom of each set of equivalent atoms:
Ga: 0.0010 0.0000 0.2095 [4 per cell]  6 Au 2.68-2.85
Sn: 0.0034 0.5000 0.1480 [4 per cell]  6 Au 2.85-3.16, 2 Ga 3.04
Pb: 0.0000 0.5000 0.5000 [2 per cell]  10 Au 2.96-3.17
Au: 0.0000 0.0000 0.5000 [2 per cell]  2 Pb 2.96, 8 Au 3.07-3.18
Au: 0.1891 0.0000 0.9977 [4 per cell]  2 Ga 2.73-2.85, 1 Au 2.80, 2 Sn 2.85-2.87
Au: 0.2482 0.2481 0.6775 [8 per cell]  2 Ga 2.68-2.72, 2 Au 2.93-2.98

## Properties
* energy: -3.464 eV per atom

---

What did the third record say?
Computed, not measured: Mn3BiPd after structural relaxation at the PBE level of DFT.

Unit cell a=4.8508 b=4.8508 c=4.8508 alpha=90.00 beta=90.00 gamma=90.00
With the nearest neighbours (Å) after each atom.
Space group Pm-3m (No. 221)
One atom of each set of equivalent atoms:
Mn: 0.0000 0.0000 0.5000 [3 per cell]  2 Pd 2.43
Bi: 0.5000 0.5000 0.5000 [1 per cell]  12 Mn 3.43
Pd: 0.0000 0.0000 0.0000 [1 per cell]  6 Mn 2.43

## Properties
* ΔE to the lowest computed polymorph: 0 meV per atom